SrNdHg6 | PBE | optimized geometry Values from VASP.

Structure (Quantum ESPRESSO input):
```
&SYSTEM
  ibrav = 0, nat = 8, ntyp = 3
/
ATOMIC_SPECIES
Hg 200.59 Hg.upf
Nd 144.24 Nd.upf
Sr 87.62 Sr.upf
ATOMIC_POSITIONS crystal
Hg 0.1690 0.3381 0.5000
Nd 0.0000 0.0000 0.0000
Hg 0.4938 0.9875 0.0000
Hg 0.0125 0.5062 0.0000
Sr 0.6667 0.3333 0.5000
Hg 0.6619 0.8310 0.5000
Hg 0.4938 0.5062 0.0000
Hg 0.1690 0.8310 0.5000
CELL_PARAMETERS angstrom
6.7799 0.0000 0.0000
-3.3899 5.8716 0.0000
0.0000 0.0000 5.1526
```

Output
For the total energy, the calculation gives -1.416 eV/atom.